! NaTi3Sn | the Alexandria database | GGA-PBE | optimized geometry; values from VASP
! DFT formation energy (eV per atom): 1.2506
! Polymorph energy (0 for the lowest one) (meV/atom): 247
&SYSTEM
  ibrav = 0, nat = 5, ntyp = 3
/
ATOMIC_SPECIES
Na 22.99 Na.upf
Ti 47.87 Ti.upf
Sn 118.71 Sn.upf
CELL_PARAMETERS angstrom
4.702 0.000 0.000
0.000 4.702 0.000
0.000 0.000 4.702
ATOMIC_POSITIONS crystal
Na 0.000 0.000 0.000
Ti 0.000 0.000 0.500
Ti 0.000 0.500 0.000
Ti 0.500 0.000 0.000
Sn 0.500 0.500 0.500